Material: BTe2HI
Method: DFT, PBE
State: relaxed

Cell lengths 4.878, 4.878, 5.275 Å; angles 90.00, 90.00, 90.00 degrees
Space group P4/mmm (No. 123)
Asymmetric unit:
B  0.000  0.000  0.000
Te  0.000  0.500  0.000
H  0.500  0.500  0.500
I  0.000  0.000  0.500

Output
The density of states at the Fermi level is 0.91 states/eV/atom. The relative energy among the computed polymorphs is 4.5 kJ/mol of atoms.